UBeCoO6 GGA+U relaxed; final energy = -67.65 eV/f.u.; spin magnetization = 0.111 μB/atom; space-group type = No. 102
1.0
4.648 0.000 0.000
0.000 4.648 0.000
0.000 0.000 8.801
U Be Co O
2 2 2 12
Cartesian
2.324 2.324 1.462 U
0.000 0.000 5.863 U
2.324 2.324 7.149 Be
0.000 0.000 2.748 Be
2.324 2.324 4.433 Co
0.000 0.000 0.033 Co
0.971 3.677 4.339 O
3.677 0.971 4.339 O
1.353 1.353 8.739 O
3.295 3.295 8.739 O
0.811 3.837 1.517 O
3.837 0.811 1.517 O
1.513 1.513 5.917 O
3.135 3.135 5.917 O
3.716 0.932 7.424 O
0.932 3.716 7.424 O
3.256 3.256 3.024 O
1.392 1.392 3.024 O